Record 1
Material: Ho2SnP
Method: DFT, PBE
State: relaxed

- Calculated formation energy: -1.119 eV per atom
- Crystal system: trigonal

```
data_Ho2SnP
_cell_length_a 3.9142
_cell_length_b 3.9142
_cell_length_c 23.0772
_cell_angle_alpha 90.00
_cell_angle_beta 90.00
_cell_angle_gamma 120.00
_space_group_name_H-M_alt 'R -3 m'
_space_group_IT_number 166
_space_group_name_Hall '-R 3 2"'
loop_
_atom_site_label
_atom_site_type_symbol
_atom_site_fract_x
_atom_site_fract_y
_atom_site_fract_z
Ho1 Ho 0.0000 0.0000 0.2352
Sn1 Sn 0.0000 0.0000 0.0000
P1 P 0.0000 0.0000 0.5000
```


Record 2
Material: La2CrP
Method: DFT, PBE
State: relaxed

- Calculated formation energy: -0.534 eV per atom
- Crystal system: orthorhombic

```
data_La2CrP
_cell_length_a 4.2961
_cell_length_b 4.1545
_cell_length_c 11.3539
_cell_angle_alpha 90.00
_cell_angle_beta 90.00
_cell_angle_gamma 90.00
_space_group_name_H-M_alt 'A m m 2'
_space_group_IT_number 38
loop_
_space_group_symop_operation_xyz
'x,y,z'
'-x,-y,z'
'-x,y,z'
'x,-y,z'
'x,y+1/2,z+1/2'
'-x,-y+1/2,z+1/2'
'-x,y+1/2,z+1/2'
'x,-y+1/2,z+1/2'
loop_
_atom_site_label
_atom_site_type_symbol
_atom_site_fract_x
_atom_site_fract_y
_atom_site_fract_z
La1 La 0.0000 0.0000 0.0000
La2 La 0.5000 0.0000 0.2840
Cr1 Cr 0.0000 0.0000 0.6997
P1 P 0.5000 0.0000 0.5754
```


Record 3
Material: SmAlS3
Method: DFT, PBE
State: relaxed

- Crystal system: orthorhombic
- Energy above the most stable polymorph in this dataset: 0.412 eV per formula unit
- E_form (uncorrected): -1.473 eV per atom

```
data_SmAlS3
_cell_length_a 4.5420
_cell_length_b 16.9229
_cell_length_c 6.3199
_cell_angle_alpha 90.00
_cell_angle_beta 90.00
_cell_angle_gamma 90.00
_space_group_name_H-M_alt 'A m a 2'
_space_group_IT_number 40
loop_
_space_group_symop_operation_xyz
'x,y,z'
'-x,-y,z'
'-x+1/2,y,z'
'x+1/2,-y,z'
'x,y+1/2,z+1/2'
'-x,-y+1/2,z+1/2'
'-x+1/2,y+1/2,z+1/2'
'x+1/2,-y+1/2,z+1/2'
loop_
_atom_site_label
_atom_site_type_symbol
_atom_site_fract_x
_atom_site_fract_y
_atom_site_fract_z
Sm1 Sm 0.2500 0.1573 0.0000
Al1 Al 0.2500 0.4164 0.9530
S1 S 0.2500 0.0570 0.3652
S2 S 0.2500 0.2964 0.7681
S3 S 0.2500 0.4037 0.3065
```